First-principles (PBE) data for an optimized crystal structure of Ac2In4Ag5, as listed in the Alexandria database.

a b c (Å): 6.680 7.380 7.390
angles (deg): 87.49 63.13 63.09
Sites, in units of the cell vectors:
1 Ac 0.251 0.749 0.749
2 Ac 0.749 0.251 0.251
3 In 0.298 0.056 0.349
4 In 0.702 0.944 0.651
5 In 0.702 0.653 0.944
6 In 0.298 0.347 0.056
7 Ag 0.213 0.259 0.742
8 Ag 0.787 0.741 0.258
9 Ag 0.000 0.500 0.500
10 Ag 0.787 0.259 0.742
11 Ag 0.213 0.741 0.258

Summary:
Energy of formation from the pure elements: -0.17 eV per atom
Crystal system: monoclinic
Volume: 284 Å³ per cell
Space-group type: C2/m, No. 12